one:
A relaxed structure of LiSi2Br. Source: Alexandria, functional PBE.

Calculated values
The calculation puts the density of states at the Fermi level at 2.5 states/eV/f.u. Its calculated density is 2.90 Mg/m³. Its size of the total moment is 0.0 μB/f.u.

Unit cell a=3.282 b=4.852 c=5.152 alpha=90.00 beta=90.00 gamma=90.00
Fractional positions:
Li: 0.000 0.000 0.000
Si: 0.500 0.235 0.500
Si: 0.500 0.765 0.500
Br: 0.000 0.500 0.000



two:
A relaxed structure of LiSi2Br. Source: Alexandria, functional PBE.

Calculated values
The calculation puts the density of states at the Fermi level at 2.5 states/eV/f.u. Its calculated density is 2.78 Mg/m³. Its size of the total moment is 0.0 μB/f.u.

Unit cell a=4.164 b=4.164 c=4.929 alpha=90.00 beta=90.00 gamma=90.00
Fractional positions:
Li: 0.000 0.000 0.000
Si: 0.500 0.500 0.230
Si: 0.500 0.500 0.770
Br: 0.000 0.000 0.500



three:
A relaxed structure of LiSi2Br. Source: Alexandria, functional PBE.

Calculated values
The calculation puts the density of states at the Fermi level at 1.1 states/eV/f.u. Its calculated density is 2.20 Mg/m³. Its size of the total moment is 0.0 μB/f.u.

Unit cell a=9.196 b=9.196 c=3.471 alpha=100.80 beta=100.80 gamma=148.96
Fractional positions:
Li: 0.000 0.000 0.000
Si: 0.000 0.500 0.000
Si: 0.500 0.000 0.000
Br: 0.500 0.500 0.000



four:
A relaxed structure of LiSi2Br. Source: Alexandria, functional PBE.

Calculated values
The calculation puts the density of states at the Fermi level at 1.3 states/eV/f.u. Its calculated density is 3.19 Mg/m³. Its size of the total moment is 0.0 μB/f.u.

Unit cell a=4.612 b=4.612 c=4.612 alpha=113.69 beta=113.69 gamma=101.32
Fractional positions:
Li: 0.000 0.000 0.000
Si: 0.500 0.500 0.000
Si: 0.750 0.250 0.500
Br: 0.250 0.750 0.500



Most stable = three



one:
A relaxed structure of Li3SmBr6. Source: Alexandria, functional PBE.

Calculated values
The calculation puts the density of states at the Fermi level at 0.0 states/eV/f.u. Its calculated density is 3.03 Mg/m³. Its size of the total moment is 0.0 μB/f.u.

Unit cell a=7.848 b=7.948 c=7.949 alpha=60.98 beta=60.59 gamma=60.59
Fractional positions:
Li: 0.000 0.000 0.000
Li: 0.000 0.000 0.500
Li: 0.000 0.500 0.000
Sm: 0.500 0.500 0.500
Br: 0.223 0.271 0.773
Br: 0.226 0.776 0.268
Br: 0.234 0.755 0.755
Br: 0.766 0.245 0.245
Br: 0.774 0.224 0.732
Br: 0.777 0.729 0.227



two:
A relaxed structure of Li3SmBr6. Source: Alexandria, functional PBE.

Calculated values
The calculation puts the density of states at the Fermi level at 0.0 states/eV/f.u. Its calculated density is 3.76 Mg/m³. Its size of the total moment is 0.0 μB/f.u.

Unit cell a=8.262 b=8.262 c=4.593 alpha=90.00 beta=90.00 gamma=113.44
Fractional positions:
Li: 0.000 0.000 0.000
Li: 0.000 0.500 0.500
Li: 0.500 0.000 0.500
Sm: 0.500 0.500 0.000
Br: 0.085 0.334 0.000
Br: 0.334 0.085 0.000
Br: 0.363 0.637 0.500
Br: 0.637 0.363 0.500
Br: 0.666 0.915 0.000
Br: 0.915 0.666 0.000



Most stable = one



one:
A relaxed structure of LiSnBr2. Source: Alexandria, functional PBE.

Calculated values
The calculation puts the density of states at the Fermi level at 0.6 states/eV/f.u. Its calculated density is 4.40 Mg/m³. Its size of the total moment is 0.0 μB/f.u.

Unit cell a=9.028 b=9.028 c=9.028 alpha=24.10 beta=24.10 gamma=24.10
Fractional positions:
Li: 0.000 0.000 0.000
Sn: 0.500 0.500 0.500
Br: 0.392 0.392 0.392
Br: 0.608 0.608 0.608



two:
A relaxed structure of LiSnBr2. Source: Alexandria, functional PBE.

Calculated values
The calculation puts the density of states at the Fermi level at 1.7 states/eV/f.u. Its calculated density is 4.52 Mg/m³. Its size of the total moment is 0.0 μB/f.u.

Unit cell a=5.293 b=5.293 c=5.293 alpha=60.00 beta=60.00 gamma=60.00
Fractional positions:
Li: 0.000 0.000 0.000
Sn: 0.500 0.500 0.500
Br: 0.250 0.250 0.250
Br: 0.750 0.750 0.750



Most stable = one